# GGA-PBE KGdHgBi, optimized geometry
data_KGdHgBi
_space_group_name_H-M_alt 'F -4 3 m'
_space_group_IT_number 216
_space_group_name_Hall 'F -4 2 3'
_cell_length_a 7.964
_cell_length_b 7.964
_cell_length_c 7.964
_cell_angle_alpha 90.00
_cell_angle_beta 90.00
_cell_angle_gamma 90.00
loop_
_atom_site_label
_atom_site_fract_x
_atom_site_fract_y
_atom_site_fract_z
_atom_site_occupancy
K1 0.000 0.000 0.000 1
Gd1 0.000 0.000 0.500 1
Hg1 0.250 0.250 0.250 1
Bi1 0.250 0.250 0.750 1
# - Energy of formation from the pure elements: -0.36 eV per atom
# - E: -5.20 eV/atom

# GGA-PBE LaGdHgBi, optimized geometry
data_LaGdHgBi
_space_group_name_H-M_alt 'F -4 3 m'
_space_group_IT_number 216
_space_group_name_Hall 'F -4 2 3'
_cell_length_a 7.817
_cell_length_b 7.817
_cell_length_c 7.817
_cell_angle_alpha 90.00
_cell_angle_beta 90.00
_cell_angle_gamma 90.00
loop_
_atom_site_label
_atom_site_fract_x
_atom_site_fract_y
_atom_site_fract_z
_atom_site_occupancy
La1 0.000 0.000 0.000 1
Gd1 0.000 0.000 0.500 1
Hg1 0.250 0.250 0.750 1
Bi1 0.250 0.250 0.250 1
# - Energy of formation from the pure elements: -0.60 eV per atom
# - E: -6.40 eV/atom

# GGA-PBE LiGdHgBi, optimized geometry
data_LiGdHgBi
_space_group_name_H-M_alt 'F -4 3 m'
_space_group_IT_number 216
_space_group_name_Hall 'F -4 2 3'
_cell_length_a 7.434
_cell_length_b 7.434
_cell_length_c 7.434
_cell_angle_alpha 90.00
_cell_angle_beta 90.00
_cell_angle_gamma 90.00
loop_
_atom_site_label
_atom_site_fract_x
_atom_site_fract_y
_atom_site_fract_z
_atom_site_occupancy
Li1 0.000 0.000 0.000 1
Gd1 0.000 0.000 0.500 1
Hg1 0.250 0.250 0.750 1
Bi1 0.250 0.250 0.250 1
# - Energy of formation from the pure elements: -0.50 eV per atom
# - E: -5.55 eV/atom

# GGA-PBE GdMgHgBi, optimized geometry
data_GdMgHgBi
_space_group_name_H-M_alt 'F -4 3 m'
_space_group_IT_number 216
_space_group_name_Hall 'F -4 2 3'
_cell_length_a 7.525
_cell_length_b 7.525
_cell_length_c 7.525
_cell_angle_alpha 90.00
_cell_angle_beta 90.00
_cell_angle_gamma 90.00
loop_
_atom_site_label
_atom_site_fract_x
_atom_site_fract_y
_atom_site_fract_z
_atom_site_occupancy
Gd1 0.000 0.000 0.000 1
Mg1 0.000 0.000 0.500 1
Hg1 0.250 0.250 0.750 1
Bi1 0.250 0.250 0.250 1
# - Energy of formation from the pure elements: -0.37 eV per atom
# - E: -5.34 eV/atom

# GGA-PBE NdGdHgBi, optimized geometry
data_NdGdHgBi
_space_group_name_H-M_alt 'F -4 3 m'
_space_group_IT_number 216
_space_group_name_Hall 'F -4 2 3'
_cell_length_a 7.745
_cell_length_b 7.745
_cell_length_c 7.745
_cell_angle_alpha 90.00
_cell_angle_beta 90.00
_cell_angle_gamma 90.00
loop_
_atom_site_label
_atom_site_fract_x
_atom_site_fract_y
_atom_site_fract_z
_atom_site_occupancy
Nd1 0.000 0.000 0.000 1
Gd1 0.000 0.000 0.500 1
Hg1 0.250 0.250 0.750 1
Bi1 0.250 0.250 0.250 1
# - Energy of formation from the pure elements: -0.56 eV per atom
# - E: -6.32 eV/atom

# GGA-PBE PmGdHgBi, optimized geometry
data_PmGdHgBi
_space_group_name_H-M_alt 'F -4 3 m'
_space_group_IT_number 216
_space_group_name_Hall 'F -4 2 3'
_cell_length_a 7.719
_cell_length_b 7.719
_cell_length_c 7.719
_cell_angle_alpha 90.00
_cell_angle_beta 90.00
_cell_angle_gamma 90.00
loop_
_atom_site_label
_atom_site_fract_x
_atom_site_fract_y
_atom_site_fract_z
_atom_site_occupancy
Pm1 0.000 0.000 0.000 1
Gd1 0.000 0.000 0.500 1
Hg1 0.250 0.250 0.250 1
Bi1 0.250 0.250 0.750 1
# - Energy of formation from the pure elements: -0.56 eV per atom
# - E: -6.31 eV/atom

Among the records above, which one has the highest E? KGdHgBi

Copy entry 2 word for word.
# GGA-PBE LaGdHgBi, optimized geometry
data_LaGdHgBi
_space_group_name_H-M_alt 'F -4 3 m'
_space_group_IT_number 216
_space_group_name_Hall 'F -4 2 3'
_cell_length_a 7.817
_cell_length_b 7.817
_cell_length_c 7.817
_cell_angle_alpha 90.00
_cell_angle_beta 90.00
_cell_angle_gamma 90.00
loop_
_atom_site_label
_atom_site_fract_x
_atom_site_fract_y
_atom_site_fract_z
_atom_site_occupancy
La1 0.000 0.000 0.000 1
Gd1 0.000 0.000 0.500 1
Hg1 0.250 0.250 0.750 1
Bi1 0.250 0.250 0.250 1
# - Energy of formation from the pure elements: -0.60 eV per atom
# - E: -6.40 eV/atom

Look up the E of the fourth one. -5.34 eV/atom

The highest E belongs to which entry? KGdHgBi